[1]
The following is a GGA-PBE calculation of a geometry-optimized Cs2SnBiSe5 structure, from Alexandria via LeMat-Bulk.

The structure belongs to space group Cmc2_1 (No. 36); the cell edges are 4.081, 22.149 and 15.767 Å and the angles 90.00°, 90.00° and 90.00°. The distinct sites, in fractional coordinates, are Cs at (0.000, 0.128, 0.000), Cs at (0.000, 0.129, 0.631), Sn at (0.000, 0.435, 0.742), Bi at (0.000, 0.211, 0.349), Se at (0.000, 0.044, 0.344), Se at (0.000, 0.291, 0.973), Se at (0.000, 0.321, 0.707), Se at (0.000, 0.330, 0.316) and Se at (0.000, 0.492, 0.606).

The calculation puts the size of the total moment at 0.036 μB/atom. The density of states at the Fermi level is 0.6069 states/eV/atom. Its total energy is -3.6361 eV per atom.



[2]
The following is a GGA-PBE calculation of a geometry-optimized SiRhSeBr2 structure, from Alexandria via LeMat-Bulk.

The structure belongs to space group P4/mmm (No. 123); the cell edges are 4.977, 4.977 and 4.969 Å and the angles 90.00°, 90.00° and 90.00°. The distinct sites, in fractional coordinates, are Si at (0.000, 0.000, 0.000), Rh at (0.500, 0.500, 0.500), Se at (0.500, 0.500, 0.000) and Br at (0.000, 0.500, 0.500).

The calculation puts the size of the total moment at 0.000 μB/atom. For the energy relative to the lowest polymorph listed for this composition, the calculation gives 0.0 meV per atom. The density of states at the Fermi level is 0.3689 states/eV/atom. Its total energy is -3.4928 eV per atom.



[3]
The following is a GGA-PBE calculation of a geometry-optimized Bi2MoPb structure, from Alexandria via LeMat-Bulk.

The structure belongs to space group I-42d (No. 122); the cell edges are 6.724, 6.724 and 13.797 Å and the angles 90.00°, 90.00° and 90.00°. The distinct sites, in fractional coordinates, are Bi at (0.196, 0.250, 0.125), Mo at (0.000, 0.000, 0.000) and Pb at (0.000, 0.000, 0.500).

The calculation puts the size of the total moment at 0.524 μB/atom. The density of states at the Fermi level is 0.4803 states/eV/atom. Its total energy is -4.8120 eV per atom.



[4]
The following is a GGA-PBE calculation of a geometry-optimized B3MoC structure, from Alexandria via LeMat-Bulk.

The structure belongs to space group Pm-3m (No. 221); the cell edges are 3.471, 3.471 and 3.471 Å and the angles 90.00°, 90.00° and 90.00°. The distinct sites, in fractional coordinates, are B at (0.000, 0.000, 0.500), Mo at (0.500, 0.500, 0.500) and C at (0.000, 0.000, 0.000).

The calculation puts the size of the total moment at 0.000 μB/atom. For the energy relative to the lowest polymorph listed for this composition, the calculation gives 0.0 meV per atom. The density of states at the Fermi level is 0.5315 states/eV/atom. Its total energy is -6.5032 eV per atom.